(i)
MgScPdRu (PBE, optimized geometry); crystal system = tetragonal; density of states at the Fermi level = 2.37 states/eV/cell; density = 6.97 g cm⁻³
1.0
3.238 0.000 0.000
0.000 3.238 0.000
0.000 0.000 6.291
Mg Sc Pd Ru
1 1 1 1
direct
0.000 0.000 0.000 Mg
0.000 0.000 0.525 Sc
0.500 0.500 0.248 Pd
0.500 0.500 0.756 Ru

(ii)
MgScPdRu (PBE, optimized geometry); crystal system = cubic; density of states at the Fermi level = 8.97 states/eV/cell; density = 7.03 g cm⁻³
1.0
6.395 0.000 0.000
0.000 6.395 0.000
0.000 0.000 6.395
Mg Sc Pd Ru
4 4 4 4
direct
0.000 0.000 0.000 Mg
0.000 0.500 0.500 Mg
0.500 0.000 0.500 Mg
0.500 0.500 0.000 Mg
0.000 0.000 0.500 Sc
0.000 0.500 0.000 Sc
0.500 0.000 0.000 Sc
0.500 0.500 0.500 Sc
0.250 0.250 0.250 Pd
0.250 0.750 0.750 Pd
0.750 0.250 0.750 Pd
0.750 0.750 0.250 Pd
0.250 0.250 0.750 Ru
0.250 0.750 0.250 Ru
0.750 0.250 0.250 Ru
0.750 0.750 0.750 Ru

Which one sits at the top of the stability order? (i) does.

(i)
Mg2Pd2S (PBE, optimized geometry); crystal system = tetragonal; density of states at the Fermi level = 1.09 states/eV/cell; density = 5.68 g cm⁻³
1.0
6.775 0.000 0.000
0.000 6.775 0.000
0.000 0.000 3.737
Mg Pd S
4 4 2
direct
0.161 0.339 0.000 Mg
0.339 0.839 0.000 Mg
0.661 0.161 0.000 Mg
0.839 0.661 0.000 Mg
0.144 0.644 0.500 Pd
0.356 0.144 0.500 Pd
0.644 0.856 0.500 Pd
0.856 0.356 0.500 Pd
0.000 0.000 0.500 S
0.500 0.500 0.500 S

(ii)
Mg2Pd2S (PBE, optimized geometry); crystal system = tetragonal; density of states at the Fermi level = 5.73 states/eV/cell; density = 5.07 g cm⁻³
1.0
4.089 0.000 0.000
0.000 4.089 0.000
0.000 0.000 11.492
Mg Pd S
4 4 2
direct
0.000 0.500 0.250 Mg
0.000 0.500 0.750 Mg
0.500 0.000 0.250 Mg
0.500 0.000 0.750 Mg
0.000 0.000 0.112 Pd
0.000 0.000 0.888 Pd
0.500 0.500 0.388 Pd
0.500 0.500 0.612 Pd
0.000 0.000 0.500 S
0.500 0.500 0.000 S

Which one sits at the top of the stability order? (i) does.